! NaCeVO5, relaxed, DFT PBE+U; values from VASP
! SG ... C2/c, No. 15
! Crystal system ... monoclinic
! Final energy ... -7.4248 eV/atom
&SYSTEM
  ibrav = 0, nat = 16, ntyp = 4
/
ATOMIC_SPECIES
Na 22.99 Na.upf
Ce 140.12 Ce.upf
V 50.94 V.upf
O 16.00 O.upf
ATOMIC_POSITIONS angstrom
Na 1.416 3.020 5.404
Na 3.151 -3.020 1.801
Ce 4.018 0.000 0.000
Ce 2.284 0.000 3.602
V 3.151 3.223 1.801
V 1.416 -3.223 5.404
O -1.548 0.367 6.277
O 2.239 2.224 2.913
O 0.187 -0.367 2.674
O 4.063 2.224 0.690
O 1.416 0.718 5.404
O 3.151 -0.718 1.801
O 0.504 -2.224 6.515
O 4.380 0.367 4.530
O 2.328 -2.224 4.292
O 6.115 -0.367 0.928
CELL_PARAMETERS angstrom
4.018 -4.665 0.000
4.018 4.665 0.000
-3.469 0.000 7.205